Below is a geometry-optimized K2NdScS4 structure, with properties calculated at the GGA-PBE level.

Results
- Formation energy without anion corrections: -14.210 eV per formula unit

Unit cell a=4.030 b=6.973 c=7.712 alpha=107.50 beta=90.00 gamma=90.00
Atoms (fractional coordinates):
S: 0.500 0.215 0.195
S: 0.500 0.785 0.805
S: 0.000 0.754 0.203
S: 0.000 0.246 0.797
K: 0.000 0.500 0.500
K: 0.500 0.000 0.500
Nd: 0.500 0.500 0.000
Sc: 0.000 0.000 0.000